[1]
NdSc4Cd5 GGA-PBE relaxed; E = -0.276 Ry per atom; SG = P4/mmm; ΔH_f (0 K) = -2.91 eV/f.u.; total magnetic moment = 0.53 μB/f.u.; DOS(E_F) = 1.00 states/eV per atom; crystal system = tetragonal
1.0
3.5743 0.0000 0.0000
0.0000 3.5743 0.0000
0.0000 0.0000 18.2769
Nd Sc Cd
1 4 5
Cartesian
0.0000 0.0000 0.0000
0.0000 0.0000 3.9005
0.0000 0.0000 7.3954
0.0000 0.0000 10.8815
0.0000 0.0000 14.3764
1.7871 1.7871 2.2050
1.7871 1.7871 5.6401
1.7871 1.7871 9.1385
1.7871 1.7871 12.6368
1.7871 1.7871 16.0719

[2]
NdSc3Cd4 GGA-PBE relaxed; E = -0.272 Ry per atom; SG = P4/mmm; ΔH_f (0 K) = -2.21 eV/f.u.; total magnetic moment = 0.50 μB/f.u.; DOS(E_F) = 0.96 states/eV per atom; crystal system = tetragonal
1.0
5.0635 0.0000 0.0000
0.0000 5.0635 0.0000
0.0000 0.0000 7.4351
Nd Sc Cd
1 3 4
Cartesian
0.0000 0.0000 0.0000
0.0000 0.0000 3.7176
2.5318 2.5318 0.0000
2.5318 2.5318 3.7176
0.0000 2.5318 2.0072
0.0000 2.5318 5.4280
2.5318 0.0000 2.0072
2.5318 0.0000 5.4280

[3]
NdScCd17 GGA-PBE relaxed; E = -0.110 Ry per atom; SG = R3m; ΔH_f (0 K) = -1.77 eV/f.u.; total magnetic moment = 0.00 μB/f.u.; DOS(E_F) = 0.33 states/eV per atom; crystal system = trigonal
1.0
5.0100 2.8925 5.0191
-5.0100 2.8925 5.0191
0.0000 -5.7851 5.0191
Nd Sc Cd
1 1 17
Cartesian
0.0000 0.0000 0.0000
0.0000 0.0000 5.3184
0.0000 -2.2061 2.8342
-1.9105 1.1031 2.8342
-2.7919 -1.6119 7.6939
0.0000 -2.6437 7.1920
-2.2895 1.3218 7.1920
-1.4924 -2.6468 10.0888
-3.0384 0.0309 10.0888
1.9106 1.1031 2.8342
0.0000 0.0000 8.5132
1.4924 -2.6468 10.0888
-1.5460 2.6159 10.0888
2.7919 -1.6119 7.6939
0.0000 3.2238 7.6939
0.0000 0.0000 11.4235
2.2895 1.3218 7.1920
3.0384 0.0309 10.0888
1.5460 2.6159 10.0888

[4]
NdSc2Cd6 GGA-PBE relaxed; E = -0.206 Ry per atom; SG = P6/mmm; ΔH_f (0 K) = -2.27 eV/f.u.; total magnetic moment = 0.12 μB/f.u.; DOS(E_F) = 0.89 states/eV per atom; crystal system = hexagonal
1.0
8.5800 0.0000 0.0000
-4.2900 7.4305 0.0000
0.0000 0.0000 3.2969
Nd Sc Cd
1 2 6
Cartesian
0.0000 0.0000 0.0000
0.0000 4.9537 0.0000
4.2900 2.4768 0.0000
-1.4536 2.5177 1.6484
-2.8364 4.9128 1.6484
2.9072 0.0000 1.6484
1.4536 2.5177 1.6484
5.6728 0.0000 1.6484
2.8364 4.9128 1.6484

[5]
Nd4ScCd GGA-PBE relaxed; E = -0.328 Ry per atom; SG = P4/mmm; energy above the lowest structure with this stoichiometry = 0.0 kJ/mol of formula units; ΔH_f (0 K) = -0.44 eV/f.u.; total magnetic moment = 0.00 μB/f.u.; DOS(E_F) = 1.26 states/eV per atom; crystal system = tetragonal
1.0
3.6612 0.0000 0.0000
0.0000 3.6612 0.0000
0.0000 0.0000 13.9451
Nd Sc Cd
4 1 1
Cartesian
0.0000 0.0000 2.1250
0.0000 0.0000 11.8201
1.8306 1.8306 4.6868
1.8306 1.8306 9.2583
0.0000 0.0000 6.9725
1.8306 1.8306 0.0000

[6]
NdSc5Cd6 GGA-PBE relaxed; E = -0.277 Ry per atom; SG = C2/m; ΔH_f (0 K) = -3.32 eV/f.u.; total magnetic moment = 0.87 μB/f.u.; DOS(E_F) = 1.05 states/eV per atom; crystal system = monoclinic
1.0
7.9633 -3.6558 0.0000
7.9633 3.6558 0.0000
-1.5687 0.0000 4.7890
Nd Sc Cd
1 5 6
Cartesian
0.0000 0.0000 0.0000
1.5422 0.0000 3.1711
4.7457 0.0000 1.5826
7.9633 0.0000 0.0000
9.6123 0.0000 3.2065
12.8158 0.0000 1.6180
3.9138 1.7298 3.9619
7.1790 1.6502 2.3945
10.4441 1.7298 0.8271
3.9138 -1.7298 3.9619
7.1790 -1.6502 2.3945
10.4441 -1.7298 0.8271

[7]
NdScCdSn GGA-PBE relaxed; E = -0.328 Ry per atom; SG = F-43m; ΔH_f (0 K) = -1.85 eV/f.u.; total magnetic moment = 0.00 μB/f.u.; DOS(E_F) = 0.69 states/eV per atom; crystal system = cubic
1.0
0.0000 3.7076 3.7076
3.7076 0.0000 3.7076
3.7076 3.7076 0.0000
Nd Sc Cd Sn
1 1 1 1
Cartesian
0.0000 0.0000 0.0000
3.7076 3.7076 3.7076
5.5613 5.5613 5.5613
1.8538 1.8538 1.8538

[8]
NdScTlCd GGA-PBE relaxed; E = -0.287 Ry per atom; SG = F-43m; ΔH_f (0 K) = -1.22 eV/f.u.; total magnetic moment = 0.57 μB/f.u.; DOS(E_F) = 1.05 states/eV per atom; crystal system = cubic
1.0
0.0000 3.7387 3.7387
3.7387 0.0000 3.7387
3.7387 3.7387 0.0000
Nd Sc Tl Cd
1 1 1 1
Cartesian
0.0000 0.0000 0.0000
3.7387 3.7387 3.7387
5.6081 5.6081 5.6081
1.8694 1.8694 1.8694